DFT (GGA-PBE) results for an optimized crystal structure of Cd5Ga2Hg5. Values from VASP.

The space group is C2/m. The formation energy is 44.8 meV/atom. As for the total energy: -0.9667 eV/atom.

Cell and atoms, written as Quantum ESPRESSO input:
```
&SYSTEM
  ibrav = 0, nat = 12, ntyp = 3
/
ATOMIC_SPECIES
Cd 112.41 Cd.upf
Ga 69.72 Ga.upf
Hg 200.59 Hg.upf
ATOMIC_POSITIONS crystal
Cd 0.0000 0.0000 0.0000
Cd 0.1352 0.1352 0.6009
Cd 0.2233 0.2233 0.3537
Cd 0.7767 0.7767 0.6463
Cd 0.8648 0.8648 0.3991
Ga 0.2636 0.2636 0.8953
Ga 0.7364 0.7364 0.1047
Hg 0.3950 0.3950 0.1310
Hg 0.4130 0.4130 0.7421
Hg 0.5000 0.5000 0.5000
Hg 0.5870 0.5870 0.2579
Hg 0.6050 0.6050 0.8690
CELL_PARAMETERS angstrom
9.7623 -1.6966 0.0000
9.7623 1.6966 0.0000
-2.1482 0.0000 8.7363
```



DFT (GGA-PBE) results for an optimized crystal structure of Cd2GaHg5. Values from VASP.

The space group is P1. The formation energy is 37.2 meV/atom. As for the total energy: -0.7585 eV/atom.

Cell and atoms, written as Quantum ESPRESSO input:
```
&SYSTEM
  ibrav = 0, nat = 8, ntyp = 3
/
ATOMIC_SPECIES
Cd 112.41 Cd.upf
Ga 69.72 Ga.upf
Hg 200.59 Hg.upf
ATOMIC_POSITIONS crystal
Cd 0.0000 0.0000 0.0000
Cd 0.1105 0.5481 0.4685
Ga 0.5524 0.2702 0.2328
Hg 0.0084 0.0642 0.4857
Hg 0.0986 0.4857 0.9804
Hg 0.4824 0.0411 0.7256
Hg 0.5564 0.7696 0.2320
Hg 0.6265 0.5023 0.7398
CELL_PARAMETERS angstrom
5.8883 0.0000 0.0000
1.7977 5.7054 0.0000
1.2380 2.2068 5.9400
```



DFT (GGA-PBE) results for an optimized crystal structure of Cd8Ga2Hg3. Values from VASP.

The space group is Cmmm. The formation energy is 64.8 meV/atom. As for the total energy: -1.0336 eV/atom.

Cell and atoms, written as Quantum ESPRESSO input:
```
&SYSTEM
  ibrav = 0, nat = 13, ntyp = 3
/
ATOMIC_SPECIES
Cd 112.41 Cd.upf
Ga 69.72 Ga.upf
Hg 200.59 Hg.upf
ATOMIC_POSITIONS crystal
Cd 0.1381 0.8619 0.0000
Cd 0.1762 0.4119 0.5000
Cd 0.3305 0.6695 0.0000
Cd 0.4119 0.1762 0.5000
Cd 0.5881 0.8238 0.5000
Cd 0.6695 0.3305 0.0000
Cd 0.8238 0.5881 0.5000
Cd 0.8619 0.1381 0.0000
Ga 0.2297 0.7703 0.5000
Ga 0.7703 0.2297 0.5000
Hg 0.0000 0.0000 0.5000
Hg 0.2921 0.2921 0.0000
Hg 0.7079 0.7079 0.0000
CELL_PARAMETERS angstrom
3.8732 -7.9485 0.0000
3.8732 7.9485 0.0000
0.0000 0.0000 5.0855
```



DFT (GGA-PBE) results for an optimized crystal structure of Cd12Ga2Hg5. Values from VASP.

The space group is C2/m. The formation energy is 75.7 meV/atom. As for the total energy: -0.9003 eV/atom.

Cell and atoms, written as Quantum ESPRESSO input:
```
&SYSTEM
  ibrav = 0, nat = 19, ntyp = 3
/
ATOMIC_SPECIES
Cd 112.41 Cd.upf
Ga 69.72 Ga.upf
Hg 200.59 Hg.upf
ATOMIC_POSITIONS crystal
Cd 0.0238 0.0238 0.3330
Cd 0.1021 0.6173 0.4003
Cd 0.1075 0.5151 0.8747
Cd 0.3827 0.8979 0.5997
Cd 0.4635 0.4635 0.8066
Cd 0.4849 0.8925 0.1253
Cd 0.5151 0.1075 0.8747
Cd 0.5365 0.5365 0.1934
Cd 0.6173 0.1021 0.4003
Cd 0.8925 0.4849 0.1253
Cd 0.8979 0.3827 0.5997
Cd 0.9762 0.9762 0.6670
Ga 0.1798 0.8202 0.0000
Ga 0.8202 0.1798 0.0000
Hg 0.1509 0.1509 0.8910
Hg 0.2137 0.2137 0.3719
Hg 0.5000 0.5000 0.5000
Hg 0.7863 0.7863 0.6281
Hg 0.8491 0.8491 0.1090
CELL_PARAMETERS angstrom
7.9760 -3.6718 0.0000
7.9760 3.6718 0.0000
-2.0072 0.0000 8.3269
```